Record 1
DFT (GGA-PBE) results for KCu after structural relaxation.

Results
For the distance to the lowest polymorph of the same formula, the calculation gives 0.074 eV per atom. The total magnetic moment comes out at 0.000 μB/atom. For the density of states at the Fermi level, the calculation gives 0.88 states/eV/f.u. The energy of formation comes out at 61 kJ/mol of formula units.

abc: 5.594 9.933 8.277
angles: 90.00 90.00 90.00
Element x y z (fractional)
1 K 0.251 0.427 0.604
2 K 0.751 0.073 0.896
3 K 0.749 0.927 0.396
4 K 0.249 0.573 0.104
5 K 0.749 0.573 0.396
6 K 0.249 0.927 0.104
7 K 0.251 0.073 0.604
8 K 0.751 0.427 0.896
9 Cu 0.001 0.250 0.250
10 Cu 0.501 0.250 0.250
11 Cu 0.999 0.750 0.750
12 Cu 0.499 0.750 0.750
13 Cu 0.252 0.250 0.008
14 Cu 0.752 0.250 0.492
15 Cu 0.748 0.750 0.992
16 Cu 0.248 0.750 0.508


Record 2
DFT (GGA-PBE) results for MgPa5S6 after structural relaxation.

Results
The total magnetic moment comes out at 0.000 μB/atom. For the density of states at the Fermi level, the calculation gives 16.09 states/eV/f.u. The energy relative to the elements, uncorrected comes out at -1479 meV/atom.

abc: 6.892 6.595 6.587
angles: 59.96 80.85 71.48
Element x y z (fractional)
1 Mg 0.000 0.000 0.000
2 Pa 0.500 0.169 0.661
3 Pa 0.000 0.333 0.334
4 Pa 0.500 0.500 0.000
5 Pa 0.000 0.667 0.666
6 Pa 0.500 0.831 0.339
7 S 0.761 0.079 0.321
8 S 0.239 0.600 0.321
9 S 0.243 0.240 0.000
10 S 0.757 0.760 0.000
11 S 0.761 0.400 0.679
12 S 0.239 0.921 0.679


Record 3
DFT (GGA-PBE) results for PmPr2Er2 after structural relaxation.

Results
For the distance to the lowest polymorph of the same formula, the calculation gives 0.254 eV per atom. The total magnetic moment comes out at 0.000 μB/atom. For the density of states at the Fermi level, the calculation gives 6.73 states/eV/f.u. The energy of formation comes out at 136 kJ/mol of formula units.

abc: 9.065 9.065 6.100
angles: 117.74 117.74 96.41
Element x y z (fractional)
1 Pm 0.066 0.934 0.250
2 Pm 0.934 0.066 0.750
3 Pr 0.761 0.608 0.492
4 Pr 0.392 0.239 0.008
5 Pr 0.608 0.761 0.992
6 Pr 0.239 0.392 0.508
7 Er 0.331 0.669 0.250
8 Er 0.802 0.198 0.250
9 Er 0.198 0.802 0.750
10 Er 0.669 0.331 0.750


Record 4
DFT (GGA-PBE) results for Nb2PbW2 after structural relaxation.

Results
For the distance to the lowest polymorph of the same formula, the calculation gives 0.268 eV per atom. The total magnetic moment comes out at 0.000 μB/atom. For the density of states at the Fermi level, the calculation gives 3.93 states/eV/f.u. The energy of formation comes out at 421 kJ/mol of formula units.

abc: 4.383 4.383 6.359
angles: 69.84 69.84 90.00
Element x y z (fractional)
1 Pb 0.000 0.000 0.000
2 Nb 0.750 0.250 0.500
3 Nb 0.250 0.750 0.500
4 W 0.386 0.386 0.227
5 W 0.614 0.614 0.773


Record 5
DFT (GGA-PBE) results for VWI3 after structural relaxation.

Results
The total magnetic moment comes out at 1.424 μB/atom. For the density of states at the Fermi level, the calculation gives 12.43 states/eV/f.u. The energy relative to the elements, uncorrected comes out at 1168 meV/atom.

abc: 5.567 5.567 5.567
angles: 90.00 90.00 90.00
Site moments in Bohr magnetons follow the coordinates.
Element x y z (fractional)
1 I 0.000 0.500 0.000  0.02
2 I 0.000 0.000 0.500  0.02
3 I 0.500 0.000 0.000  0.02
4 W 0.000 0.000 0.000  2.12
5 V 0.500 0.500 0.500  3.30


Record 6
DFT (GGA-PBE) results for Rb4AsS4 after structural relaxation.

Results
The total magnetic moment comes out at 0.088 μB/atom. For the density of states at the Fermi level, the calculation gives 4.09 states/eV/f.u. The energy relative to the elements, uncorrected comes out at -784 meV/atom.

abc: 7.795 7.795 8.677
angles: 116.69 116.69 90.00
Site moments in Bohr magnetons follow the coordinates.
Element x y z (fractional)
1 Rb 0.500 0.000 0.000  0.00
2 Rb 0.000 0.500 0.000  0.00
3 Rb 0.295 0.295 0.589  0.00
4 Rb 0.705 0.705 0.411  0.00
5 As 0.000 0.000 0.000  0.09
6 S 0.723 0.723 0.793  0.09
7 S 0.277 0.930 0.207  0.09
8 S 0.070 0.070 0.793  0.09
9 S 0.930 0.277 0.207  0.09


Record 7
DFT (GGA-PBE) results for Dy2LuNi after structural relaxation.

Results
For the distance to the lowest polymorph of the same formula, the calculation gives 0.248 eV per atom. The total magnetic moment comes out at 0.000 μB/atom. For the density of states at the Fermi level, the calculation gives 5.18 states/eV/f.u. The energy of formation comes out at 38 kJ/mol of formula units.

abc: 3.553 3.553 10.404
angles: 80.17 80.17 60.00
Element x y z (fractional)
1 Ni 0.500 0.500 0.500
2 Lu 0.000 0.000 0.000
3 Dy 0.110 0.110 0.670
4 Dy 0.890 0.890 0.330


Record 8
DFT (GGA-PBE) results for Nb2HgHAu after structural relaxation.

Results
The total magnetic moment comes out at 0.000 μB/atom. For the calculated total energy, the calculation gives -26.892 eV/cell. For the density of states at the Fermi level, the calculation gives 2.11 states/eV/f.u.

abc: 4.103 4.103 4.529
angles: 90.00 90.00 90.00
Element x y z (fractional)
1 H 0.000 0.000 0.000
2 Nb 0.000 0.500 0.000
3 Nb 0.500 0.000 0.000
4 Au 0.000 0.000 0.500
5 Hg 0.500 0.500 0.500